First-principles (PBE) data for BaNa2AlPd after structural relaxation, as listed in Alexandria via LeMat-Bulk.

abc: 6.390 5.975 6.390
angles: 90.00 90.00 90.00
Atoms (fractional coordinates):
Ba: 0.000 0.000 0.000
Na: 0.000 0.000 0.500
Al: 0.000 0.500 0.000
Na: 0.500 0.000 0.000
Pd: 0.500 0.500 0.500

crystal system = tetragonal
calculated volume = 244 Å³ per cell
total magnetization = 0.00 μB per cell
formation enthalpy at 0 K = 120.6 kJ per mole of atoms

---

First-principles (PBE) data for Ba2NaAl12Pt3 after structural relaxation, as listed in Alexandria via LeMat-Bulk.

abc: 8.115 8.115 8.115
angles: 70.69 70.69 70.69
Atoms (fractional coordinates):
Ba: 0.601 0.601 0.601
Al: 0.742 0.108 0.742
Al: 0.892 0.258 0.258
Al: 0.131 0.642 0.131
Na: 0.000 0.000 0.000
Al: 0.131 0.131 0.642
Al: 0.869 0.358 0.869
Pt: 0.500 0.000 0.000
Pt: 0.000 0.500 0.000
Ba: 0.399 0.399 0.399
Al: 0.869 0.869 0.358
Al: 0.108 0.742 0.742
Al: 0.258 0.258 0.892
Al: 0.358 0.869 0.869
Al: 0.742 0.742 0.108
Al: 0.258 0.892 0.258
Pt: 0.000 0.000 0.500
Al: 0.642 0.131 0.131

crystal system = trigonal
calculated volume = 461 Å³ per cell
total magnetization = 0.00 μB per cell
formation enthalpy at 0 K = -7.7 kJ per mole of atoms

---

First-principles (PBE) data for BaNaAlPt after structural relaxation, as listed in Alexandria via LeMat-Bulk.

abc: 4.349 4.349 13.063
angles: 90.00 90.00 90.00
Atoms (fractional coordinates):
Na: 0.250 0.750 0.500
Na: 0.750 0.250 0.500
Ba: 0.750 0.750 0.223
Ba: 0.250 0.250 0.777
Pt: 0.750 0.750 0.900
Al: 0.750 0.250 0.000
Pt: 0.250 0.250 0.100
Al: 0.250 0.750 0.000

crystal system = tetragonal
calculated volume = 247 Å³ per cell
total magnetization = 0.00 μB per cell
formation enthalpy at 0 K = -56.1 kJ per mole of atoms

---

First-principles (PBE) data for Ba2NaAlRh after structural relaxation, as listed in Alexandria via LeMat-Bulk.

abc: 6.149 6.149 4.899
angles: 90.00 90.00 90.00
Atoms (fractional coordinates):
Al: 0.000 0.000 0.500
Ba: 0.500 0.000 0.000
Na: 0.500 0.500 0.500
Rh: 0.000 0.000 0.000
Ba: 0.000 0.500 0.000

crystal system = tetragonal
calculated volume = 185 Å³ per cell
total magnetization = 0.00 μB per cell
formation enthalpy at 0 K = -18.9 kJ per mole of atoms

---

First-principles (PBE) data for Ba3NaAl2S6 after structural relaxation, as listed in Alexandria via LeMat-Bulk.

abc: 7.331 7.331 7.949
angles: 90.00 90.00 120.00
Atoms (fractional coordinates):
Na: 0.000 0.000 0.500
S: 0.659 0.830 0.287
Al: 0.333 0.667 0.198
Ba: 0.333 0.667 0.630
S: 0.170 0.341 0.287
S: 0.830 0.170 0.713
Ba: 0.667 0.333 0.370
S: 0.341 0.170 0.713
Ba: 0.000 0.000 0.000
S: 0.170 0.830 0.287
S: 0.830 0.659 0.713
Al: 0.667 0.333 0.802

uncorrected energy = -55.6 eV per formula unit
crystal system = trigonal
calculated volume = 370 Å³ per cell
total magnetization = 0.99 μB per cell

---

First-principles (PBE) data for BaNa2AlS4 after structural relaxation, as listed in Alexandria via LeMat-Bulk.

abc: 7.188 6.445 6.445
angles: 75.87 56.10 56.10
Atoms (fractional coordinates):
S: 0.000 0.463 0.160
Al: 0.000 0.500 0.500
Na: 0.500 0.750 0.250
S: 0.623 0.537 0.840
S: 0.377 0.160 0.463
Ba: 0.000 0.000 0.000
S: 0.000 0.840 0.537
Na: 0.500 0.250 0.750

uncorrected energy = -34.5 eV per formula unit
crystal system = tetragonal
calculated volume = 205 Å³ per cell
total magnetization = 0.91 μB per cell

---

First-principles (PBE) data for BaNaAlS3 after structural relaxation, as listed in Alexandria via LeMat-Bulk.

abc: 6.504 6.504 8.820
angles: 73.47 73.47 73.07
Atoms (fractional coordinates):
Al: 0.939 0.939 0.248
Ba: 0.311 0.311 0.167
Ba: 0.689 0.689 0.833
S: 0.180 0.703 0.826
S: 0.251 0.251 0.547
Al: 0.061 0.061 0.752
Na: 0.297 0.703 0.500
S: 0.297 0.820 0.174
S: 0.703 0.180 0.826
S: 0.749 0.749 0.453
S: 0.820 0.297 0.174
Na: 0.703 0.297 0.500

uncorrected energy = -27.3 eV per formula unit
crystal system = monoclinic
calculated volume = 334 Å³ per cell
total magnetization = 0.00 μB per cell

---

First-principles (PBE) data for Ba2NaAl3Sn4 after structural relaxation, as listed in Alexandria via LeMat-Bulk.

abc: 5.040 5.040 11.320
angles: 90.00 90.00 90.00
Atoms (fractional coordinates):
Al: 0.000 0.500 0.121
Sn: 0.500 0.500 0.000
Sn: 0.500 0.000 0.640
Al: 0.000 0.000 0.500
Ba: 0.000 0.500 0.755
Ba: 0.500 0.000 0.245
Sn: 0.000 0.500 0.360
Na: 0.500 0.500 0.500
Al: 0.500 0.000 0.879
Sn: 0.000 0.000 0.000

crystal system = tetragonal
calculated volume = 287 Å³ per cell
total magnetization = 0.00 μB per cell
formation enthalpy at 0 K = -30.8 kJ per mole of atoms

---

First-principles (PBE) data for BaNaAlTl after structural relaxation, as listed in Alexandria via LeMat-Bulk.

abc: 5.558 5.558 5.558
angles: 60.00 60.00 60.00
Atoms (fractional coordinates):
Na: 0.000 0.000 0.000
Al: 0.250 0.250 0.250
Tl: 0.500 0.500 0.500
Ba: 0.750 0.750 0.750

crystal system = cubic
calculated volume = 121 Å³ per cell
total magnetization = 0.00 μB per cell
formation enthalpy at 0 K = -5.1 kJ per mole of atoms

---

First-principles (PBE) data for BaNa2YAl after structural relaxation, as listed in Alexandria via LeMat-Bulk.

abc: 6.201 5.639 6.201
angles: 90.00 90.00 90.00
Atoms (fractional coordinates):
Al: 0.000 0.500 0.000
Ba: 0.500 0.500 0.500
Na: 0.000 0.000 0.500
Y: 0.000 0.000 0.000
Na: 0.500 0.000 0.000

crystal system = tetragonal
calculated volume = 217 Å³ per cell
total magnetization = 0.00 μB per cell
formation enthalpy at 0 K = 50.8 kJ per mole of atoms

---

First-principles (PBE) data for Ba2NaAlZn after structural relaxation, as listed in Alexandria via LeMat-Bulk.

abc: 6.531 6.531 4.762
angles: 90.00 90.00 90.00
Atoms (fractional coordinates):
Al: 0.000 0.000 0.500
Ba: 0.500 0.000 0.000
Na: 0.500 0.500 0.500
Ba: 0.000 0.500 0.000
Zn: 0.000 0.000 0.000

relative energy among the computed polymorphs = 0 meV/atom
crystal system = tetragonal
calculated volume = 203 Å³ per cell
total magnetization = 0.00 μB per cell
formation enthalpy at 0 K = -1.5 kJ per mole of atoms

---

First-principles (PBE) data for Ba2NaAlZn after structural relaxation, as listed in Alexandria via LeMat-Bulk.

abc: 6.354 6.354 5.274
angles: 90.00 90.00 90.00
Atoms (fractional coordinates):
Zn: 0.000 0.000 0.000
Ba: 0.500 0.000 0.000
Na: 0.000 0.000 0.500
Al: 0.500 0.500 0.500
Ba: 0.000 0.500 0.000

relative energy among the computed polymorphs = 268 meV/atom
crystal system = tetragonal
calculated volume = 213 Å³ per cell
total magnetization = 0.00 μB per cell
formation enthalpy at 0 K = 24.3 kJ per mole of atoms